! AlHg2Sb, relaxed, DFT PBE-GGA; values from VASP
! * total magnetic moment: 0.00 μB/f.u.
! * distance to the lowest polymorph of the same formula: 0.34 eV per formula unit
! * formation energy (no corrections): 0.6 eV/f.u.
! * SG: Imm2
! * density of states at the Fermi level: 0.5079 states/eV/atom
&SYSTEM
  ibrav = 0, nat = 4, ntyp = 3
/
ATOMIC_SPECIES
Al 26.98 Al.upf
Hg 200.59 Hg.upf
Sb 121.76 Sb.upf
ATOMIC_POSITIONS crystal
Al 0.000 0.000 0.000
Hg 0.195 0.695 0.500
Hg 0.507 0.507 0.000
Sb 0.807 0.307 0.500
CELL_PARAMETERS angstrom
-1.682 2.351 6.248
1.682 -2.351 6.248
1.682 2.351 -6.248


! NdYZnIn, relaxed, DFT PBE-GGA; values from VASP
! * total magnetic moment: 0.00 μB/f.u.
! * ΔH_f (0 K): -405 meV per atom
! * SG: F-43m
! * density of states at the Fermi level: 0.9769 states/eV/atom
&SYSTEM
  ibrav = 0, nat = 4, ntyp = 4
/
ATOMIC_SPECIES
Nd 144.24 Nd.upf
Y 88.91 Y.upf
Zn 65.41 Zn.upf
In 114.82 In.upf
ATOMIC_POSITIONS crystal
Nd 0.000 0.000 0.000
Y 0.500 0.500 0.500
Zn 0.250 0.250 0.250
In 0.750 0.750 0.750
CELL_PARAMETERS angstrom
0.000 3.746 3.746
3.746 0.000 3.746
3.746 3.746 0.000


! KErAgSe2, relaxed, DFT PBE-GGA; values from VASP
! * total magnetic moment: 0.00 μB/f.u.
! * formation energy (no corrections): -5.2 eV/f.u.
! * SG: P2/c
! * density of states at the Fermi level: 0.2765 states/eV/atom
&SYSTEM
  ibrav = 0, nat = 10, ntyp = 4
/
ATOMIC_SPECIES
K 39.10 K.upf
Er 167.26 Er.upf
Ag 107.87 Ag.upf
Se 78.96 Se.upf
ATOMIC_POSITIONS crystal
K 0.000 0.110 0.250
K 0.000 0.890 0.750
Er 0.500 0.495 0.750
Er 0.500 0.505 0.250
Ag 0.500 0.000 0.000
Ag 0.500 0.000 0.500
Se 0.252 0.391 0.970
Se 0.252 0.609 0.470
Se 0.748 0.391 0.530
Se 0.748 0.609 0.030
CELL_PARAMETERS angstrom
7.682 0.000 0.000
0.000 4.964 0.000
-1.035 0.000 7.871


! Sc2MnP, relaxed, DFT PBE-GGA; values from VASP
! * total magnetic moment: 2.39 μB/f.u.
! * ΔH_f (0 K): -739 meV per atom
! * SG: Amm2
! * density of states at the Fermi level: 0.6067 states/eV/atom
&SYSTEM
  ibrav = 0, nat = 4, ntyp = 3
/
ATOMIC_SPECIES
Sc 44.96 Sc.upf
Mn 54.94 Mn.upf
P 30.97 P.upf
ATOMIC_POSITIONS crystal
Sc 0.000 0.000 0.000
Sc 0.500 0.290 0.290
Mn 0.500 0.574 0.574
P 0.000 0.717 0.717
CELL_PARAMETERS angstrom
3.863 0.000 0.000
0.000 1.820 5.003
0.000 -1.820 5.003


! RbGaF3, relaxed, DFT PBE-GGA; values from VASP
! * total magnetic moment: 0.00 μB/f.u.
! * formation energy (no corrections): -10.0 eV/f.u.
! * SG: P6_3/mmc
! * density of states at the Fermi level: 0.3182 states/eV/atom
&SYSTEM
  ibrav = 0, nat = 10, ntyp = 3
/
ATOMIC_SPECIES
Rb 85.47 Rb.upf
Ga 69.72 Ga.upf
F 19.00 F.upf
ATOMIC_POSITIONS crystal
Rb 0.333 0.667 0.250
Rb 0.667 0.333 0.750
Ga 0.000 0.000 0.000
Ga 0.000 0.000 0.500
F 0.000 0.000 0.250
F 0.000 0.000 0.750
F 0.333 0.667 0.554
F 0.333 0.667 0.946
F 0.667 0.333 0.054
F 0.667 0.333 0.446
CELL_PARAMETERS angstrom
4.430 0.000 0.000
-2.215 3.836 0.000
0.000 0.000 9.026


! SrSb2Pt3, relaxed, DFT PBE-GGA; values from VASP
! * total magnetic moment: 0.00 μB/f.u.
! * formation energy (no corrections): -4.1 eV/f.u.
! * SG: C2/m
! * density of states at the Fermi level: 0.4760 states/eV/atom
&SYSTEM
  ibrav = 0, nat = 18, ntyp = 3
/
ATOMIC_SPECIES
Sr 87.62 Sr.upf
Sb 121.76 Sb.upf
Pt 195.08 Pt.upf
ATOMIC_POSITIONS crystal
Sr 0.000 0.000 0.000
Sr 0.151 0.151 0.698
Sr 0.849 0.849 0.302
Sb 0.205 0.205 0.098
Sb 0.342 0.342 0.546
Sb 0.488 0.488 0.237
Sb 0.512 0.512 0.763
Sb 0.658 0.658 0.454
Sb 0.795 0.795 0.902
Pt 0.051 0.051 0.374
Pt 0.212 0.212 0.349
Pt 0.351 0.351 0.059
Pt 0.366 0.366 0.812
Pt 0.500 0.500 0.500
Pt 0.634 0.634 0.188
Pt 0.649 0.649 0.941
Pt 0.788 0.788 0.651
Pt 0.949 0.949 0.626
CELL_PARAMETERS angstrom
8.674 -2.165 0.000
8.674 2.165 0.000
-3.022 0.000 10.598


! YTm4ScS8, relaxed, DFT PBE-GGA; values from VASP
! * total magnetic moment: 0.65 μB/f.u.
! * formation energy (no corrections): -26.8 eV/f.u.
! * SG: R3m
! * density of states at the Fermi level: 0.5321 states/eV/atom
&SYSTEM
  ibrav = 0, nat = 14, ntyp = 4
/
ATOMIC_SPECIES
Y 88.91 Y.upf
Tm 168.93 Tm.upf
Sc 44.96 Sc.upf
S 32.06 S.upf
ATOMIC_POSITIONS crystal
Y 0.000 0.000 0.000
Tm 0.000 0.000 0.511
Tm 0.000 0.511 0.000
Tm 0.378 0.378 0.378
Tm 0.511 0.000 0.000
Sc 0.629 0.629 0.629
S 0.243 0.754 0.754
S 0.244 0.244 0.244
S 0.247 0.247 0.777
S 0.247 0.777 0.247
S 0.754 0.243 0.754
S 0.754 0.754 0.243
S 0.758 0.758 0.758
S 0.777 0.247 0.247
CELL_PARAMETERS angstrom
3.947 2.279 6.465
-3.947 2.279 6.465
0.000 -4.558 6.465


! Mn8Os, relaxed, DFT PBE-GGA; values from VASP
! * total magnetic moment: 1.91 μB/f.u.
! * ΔH_f (0 K): 86 meV per atom
! * SG: I4/mmm
! * density of states at the Fermi level: 1.4123 states/eV/atom
&SYSTEM
  ibrav = 0, nat = 9, ntyp = 2
/
ATOMIC_SPECIES
Mn 54.94 Mn.upf
Os 190.23 Os.upf
ATOMIC_POSITIONS crystal
Mn 0.000 0.339 0.339
Mn 0.000 0.661 0.661
Mn 0.330 0.330 0.659
Mn 0.330 0.670 0.000
Mn 0.339 0.000 0.339
Mn 0.661 0.000 0.661
Mn 0.670 0.330 0.000
Mn 0.670 0.670 0.341
Os 0.000 0.000 0.000
CELL_PARAMETERS angstrom
-3.790 3.790 1.785
3.790 -3.790 1.785
3.790 3.790 -1.785


! Cr3RePd, relaxed, DFT PBE-GGA; values from VASP
! * total magnetic moment: 0.00 μB/f.u.
! * ΔH_f (0 K): 1574 meV per atom
! * distance to the lowest polymorph of the same formula: 0.00 eV per formula unit
! * SG: Pm-3m
! * density of states at the Fermi level: 1.4579 states/eV/atom
&SYSTEM
  ibrav = 0, nat = 5, ntyp = 3
/
ATOMIC_SPECIES
Cr 52.00 Cr.upf
Re 186.21 Re.upf
Pd 106.42 Pd.upf
ATOMIC_POSITIONS crystal
Cr 0.000 0.000 0.500
Cr 0.000 0.500 0.000
Cr 0.500 0.000 0.000
Re 0.000 0.000 0.000
Pd 0.500 0.500 0.500
CELL_PARAMETERS angstrom
4.451 0.000 0.000
0.000 4.451 0.000
0.000 0.000 4.451


! TlNiAg2, relaxed, DFT PBE-GGA; values from VASP
! * total magnetic moment: 0.00 μB/f.u.
! * ΔH_f (0 K): 248 meV per atom
! * distance to the lowest polymorph of the same formula: 0.17 eV per formula unit
! * SG: I4/mmm
! * density of states at the Fermi level: 0.7627 states/eV/atom
&SYSTEM
  ibrav = 0, nat = 4, ntyp = 3
/
ATOMIC_SPECIES
Tl 204.38 Tl.upf
Ni 58.69 Ni.upf
Ag 107.87 Ag.upf
ATOMIC_POSITIONS crystal
Tl 0.000 0.000 0.000
Ni 0.500 0.500 0.000
Ag 0.250 0.750 0.500
Ag 0.750 0.250 0.500
CELL_PARAMETERS angstrom
-1.984 1.984 4.519
1.984 -1.984 4.519
1.984 1.984 -4.519


! Li2NdGaAu4, relaxed, DFT PBE-GGA; values from VASP
! * total magnetic moment: 0.00 μB/f.u.
! * ΔH_f (0 K): -564 meV per atom
! * SG: R-3m
! * density of states at the Fermi level: 0.3867 states/eV/atom
&SYSTEM
  ibrav = 0, nat = 8, ntyp = 4
/
ATOMIC_SPECIES
Li 6.94 Li.upf
Nd 144.24 Nd.upf
Ga 69.72 Ga.upf
Au 196.97 Au.upf
ATOMIC_POSITIONS crystal
Li 0.237 0.237 0.237
Li 0.763 0.763 0.763
Nd 0.000 0.000 0.000
Ga 0.500 0.500 0.500
Au 0.128 0.128 0.128
Au 0.398 0.398 0.398
Au 0.602 0.602 0.602
Au 0.872 0.872 0.872
CELL_PARAMETERS angstrom
2.243 1.295 8.784
-2.243 1.295 8.784
0.000 -2.590 8.784


! ErScPb, relaxed, DFT PBE-GGA; values from VASP
! * total magnetic moment: 0.00 μB/f.u.
! * ΔH_f (0 K): -267 meV per atom
! * distance to the lowest polymorph of the same formula: 0.51 eV per formula unit
! * SG: I4mm
! * density of states at the Fermi level: 0.9901 states/eV/atom
&SYSTEM
  ibrav = 0, nat = 3, ntyp = 3
/
ATOMIC_SPECIES
Er 167.26 Er.upf
Sc 44.96 Sc.upf
Pb 207.20 Pb.upf
ATOMIC_POSITIONS crystal
Er 0.000 0.000 0.000
Sc 0.673 0.673 0.000
Pb 0.328 0.328 0.000
CELL_PARAMETERS angstrom
-1.764 1.764 6.461
1.764 -1.764 6.461
1.764 1.764 -6.461


! Ca2CoSe, relaxed, DFT PBE-GGA; values from VASP
! * total magnetic moment: 0.00 μB/f.u.
! * formation energy (no corrections): 0.1 eV/f.u.
! * SG: F-43m
! * density of states at the Fermi level: 0.4615 states/eV/atom
&SYSTEM
  ibrav = 0, nat = 4, ntyp = 3
/
ATOMIC_SPECIES
Ca 40.08 Ca.upf
Co 58.93 Co.upf
Se 78.96 Se.upf
ATOMIC_POSITIONS crystal
Ca 0.000 0.000 0.000
Ca 0.250 0.250 0.250
Co 0.500 0.500 0.500
Se 0.750 0.750 0.750
CELL_PARAMETERS angstrom
0.000 3.459 3.459
3.459 0.000 3.459
3.459 3.459 0.000


! ScGaNi, relaxed, DFT PBE-GGA; values from VASP
! * total magnetic moment: 0.00 μB/f.u.
! * ΔH_f (0 K): -449 meV per atom
! * SG: F-43m
! * density of states at the Fermi level: 1.4731 states/eV/atom
&SYSTEM
  ibrav = 0, nat = 3, ntyp = 3
/
ATOMIC_SPECIES
Sc 44.96 Sc.upf
Ga 69.72 Ga.upf
Ni 58.69 Ni.upf
ATOMIC_POSITIONS crystal
Sc 0.000 0.000 0.000
Ga 0.500 0.500 0.500
Ni 0.250 0.250 0.250
CELL_PARAMETERS angstrom
0.000 2.981 2.981
2.981 0.000 2.981
2.981 2.981 0.000


! Pm6DyCd5, relaxed, DFT PBE-GGA; values from VASP
! * total magnetic moment: 0.01 μB/f.u.
! * ΔH_f (0 K): -226 meV per atom
! * SG: Immm
! * density of states at the Fermi level: 1.3626 states/eV/atom
&SYSTEM
  ibrav = 0, nat = 12, ntyp = 3
/
ATOMIC_SPECIES
Pm 145.00 Pm.upf
Dy 162.50 Dy.upf
Cd 112.41 Cd.upf
ATOMIC_POSITIONS crystal
Pm 0.073 0.329 0.744
Pm 0.233 0.000 0.233
Pm 0.415 0.671 0.744
Pm 0.585 0.329 0.256
Pm 0.767 0.000 0.767
Pm 0.927 0.671 0.256
Dy 0.500 0.500 0.000
Cd 0.000 0.500 0.500
Cd 0.168 0.168 0.000
Cd 0.345 0.845 0.500
Cd 0.655 0.155 0.500
Cd 0.832 0.832 0.000
CELL_PARAMETERS angstrom
-2.699 3.919 8.172
2.699 -3.919 8.172
2.699 3.919 -8.172


! Tb6Nd2Y5, relaxed, DFT PBE-GGA; values from VASP
! * total magnetic moment: 0.00 μB/f.u.
! * ΔH_f (0 K): 99 meV per atom
! * SG: Pbam
! * density of states at the Fermi level: 1.3108 states/eV/atom
&SYSTEM
  ibrav = 0, nat = 26, ntyp = 3
/
ATOMIC_SPECIES
Tb 158.93 Tb.upf
Nd 144.24 Nd.upf
Y 88.91 Y.upf
ATOMIC_POSITIONS crystal
Tb 0.062 0.076 0.000
Tb 0.078 0.364 0.000
Tb 0.177 0.628 0.500
Tb 0.323 0.128 0.500
Tb 0.422 0.864 0.000
Tb 0.438 0.576 0.000
Tb 0.562 0.424 0.000
Tb 0.578 0.136 0.000
Tb 0.677 0.872 0.500
Tb 0.823 0.372 0.500
Tb 0.922 0.636 0.000
Tb 0.938 0.924 0.000
Nd 0.170 0.783 0.000
Nd 0.330 0.283 0.000
Nd 0.670 0.717 0.000
Nd 0.830 0.217 0.000
Y 0.000 0.500 0.500
Y 0.091 0.221 0.500
Y 0.199 0.945 0.500
Y 0.301 0.445 0.500
Y 0.409 0.721 0.500
Y 0.500 0.000 0.500
Y 0.591 0.279 0.500
Y 0.699 0.555 0.500
Y 0.801 0.055 0.500
Y 0.909 0.779 0.500
CELL_PARAMETERS angstrom
11.726 0.000 0.000
0.000 20.382 0.000
0.000 0.000 3.614


! Nd4Y5Ho2, relaxed, DFT PBE-GGA; values from VASP
! * total magnetic moment: 0.00 μB/f.u.
! * ΔH_f (0 K): 101 meV per atom
! * distance to the lowest polymorph of the same formula: 0.00 eV per formula unit
! * SG: C2/m
! * density of states at the Fermi level: 1.6327 states/eV/atom
&SYSTEM
  ibrav = 0, nat = 11, ntyp = 3
/
ATOMIC_SPECIES
Nd 144.24 Nd.upf
Y 88.91 Y.upf
Ho 164.93 Ho.upf
ATOMIC_POSITIONS crystal
Nd 0.040 0.040 0.344
Nd 0.275 0.275 0.174
Nd 0.725 0.725 0.826
Nd 0.960 0.960 0.656
Y 0.130 0.130 0.046
Y 0.185 0.185 0.474
Y 0.500 0.500 0.000
Y 0.815 0.815 0.526
Y 0.870 0.870 0.954
Ho 0.412 0.412 0.304
Ho 0.588 0.588 0.696
CELL_PARAMETERS angstrom
12.101 -1.780 0.000
12.101 1.780 0.000
-0.694 0.000 8.664


! MgIn2Rh, relaxed, DFT PBE-GGA; values from VASP
! * total magnetic moment: 0.00 μB/f.u.
! * ΔH_f (0 K): -193 meV per atom
! * SG: P4/mmm
! * density of states at the Fermi level: 0.6125 states/eV/atom
&SYSTEM
  ibrav = 0, nat = 4, ntyp = 3
/
ATOMIC_SPECIES
Mg 24.30 Mg.upf
In 114.82 In.upf
Rh 102.91 Rh.upf
ATOMIC_POSITIONS crystal
Mg 0.000 0.000 0.000
In 0.000 0.500 0.500
In 0.500 0.000 0.500
Rh 0.500 0.500 0.000
CELL_PARAMETERS angstrom
4.280 0.000 0.000
0.000 4.280 0.000
0.000 0.000 4.116


! ScTi2Pd2, relaxed, DFT PBE-GGA; values from VASP
! * total magnetic moment: 0.00 μB/f.u.
! * ΔH_f (0 K): -441 meV per atom
! * distance to the lowest polymorph of the same formula: 0.00 eV per formula unit
! * SG: P4/mbm
! * density of states at the Fermi level: 0.8754 states/eV/atom
&SYSTEM
  ibrav = 0, nat = 10, ntyp = 3
/
ATOMIC_SPECIES
Sc 44.96 Sc.upf
Ti 47.87 Ti.upf
Pd 106.42 Pd.upf
ATOMIC_POSITIONS crystal
Sc 0.000 0.000 0.000
Sc 0.500 0.500 0.000
Ti 0.166 0.334 0.500
Ti 0.334 0.834 0.500
Ti 0.666 0.166 0.500
Ti 0.834 0.666 0.500
Pd 0.131 0.631 0.000
Pd 0.369 0.131 0.000
Pd 0.631 0.869 0.000
Pd 0.869 0.369 0.000
CELL_PARAMETERS angstrom
7.532 0.000 0.000
0.000 7.532 0.000
0.000 0.000 3.093